one) The following is a PBE with a Hubbard U calculation of MgMn2O4 after structural relaxation, from Alexandria.

a = 15.414 Å, b = 2.870 Å, c = 9.551 Å
α = 90.00°, β = 125.79°, γ = 90.00°
Space group C2/m (No. 12)
Unique sites:
Mg (0.196, 0.000, 0.178) x4
Mn (0.111, 0.000, 0.822) x4
Mn (0.147, 0.500, 0.477) x4
O (0.056, 0.000, 0.338) x4
O (0.136, 0.500, 0.991) x4
O (0.142, 0.500, 0.721) x4
O (0.243, 0.500, 0.366) x4

Output
**ρ**: 3.8 Mg/m³

***

two) The following is a PBE with a Hubbard U calculation of MgMn2O4 after structural relaxation, from Alexandria.

a = 5.089 Å, b = 10.320 Å, c = 5.999 Å
α = 90.00°, β = 93.83°, γ = 90.00°
Space group P2_1/m (No. 11)
Unique sites:
Mg (0.007, 0.250, 0.209) x2
Mg (0.358, 0.250, 0.743) x2
Mn (0.011, 0.517, 0.250) x4
Mn (0.500, 0.000, 0.000) x2
Mn (0.500, 0.000, 0.500) x2
O (0.183, 0.112, 0.468) x4
O (0.183, 0.121, 0.972) x4
O (0.284, 0.600, 0.777) x4
O (0.357, 0.603, 0.251) x4

Output
**ρ**: 4.2 Mg/m³

***

three) The following is a PBE with a Hubbard U calculation of MgMn2O4 after structural relaxation, from Alexandria.

a = 5.202 Å, b = 2.993 Å, c = 5.440 Å
α = 90.00°, β = 108.52°, γ = 90.00°
Space group P2/m (No. 10)
Unique sites:
Mg (0.000, 0.000, 0.000) x1
Mn (0.500, 0.000, 0.500) x1
Mn (0.500, 0.500, 0.000) x1
O (0.265, 0.500, 0.214) x2
O (0.290, 0.000, 0.800) x2

Output
**ρ**: 4.1 Mg/m³

***

Result of the stability comparison: three) is the most stable of them.

***

one) The following is a PBE with a Hubbard U calculation of MgMn2O4 after structural relaxation, from Alexandria.

a = 8.979 Å, b = 2.971 Å, c = 10.286 Å
α = 90.00°, β = 90.00°, γ = 90.00°
Space group Pnma (No. 62)
Unique sites:
Mg (0.237, 0.250, 0.149) x4
Mn (0.067, 0.250, 0.384) x4
Mn (0.078, 0.250, 0.894) x4
O (0.007, 0.750, 0.788) x4
O (0.097, 0.250, 0.572) x4
O (0.120, 0.750, 0.025) x4
O (0.223, 0.750, 0.315) x4

Output
**DOS(E_F)**: 0.158 states/eV/atom
**ρ**: 4.8 Mg/m³

***

two) The following is a PBE with a Hubbard U calculation of MgMn2O4 after structural relaxation, from Alexandria.

a = 3.090 Å, b = 9.408 Å, c = 5.158 Å
α = 90.00°, β = 102.81°, γ = 90.00°
Space group P2_1 (No. 4)
Unique sites:
Mg (0.022, 0.000, 0.194) x2
Mn (0.257, 0.155, 0.731) x2
Mn (0.451, 0.798, 0.722) x2
O (0.010, 0.217, 0.026) x2
O (0.085, 0.339, 0.552) x2
O (0.431, 0.609, 0.551) x2
O (0.431, 0.976, 0.922) x2

Output
**ρ**: 4.5 Mg/m³

***

Result of the stability comparison: two) is the most stable of them.

***

one) The following is a PBE with a Hubbard U calculation of MgMn2O4 after structural relaxation, from Alexandria.

a = 3.336 Å, b = 9.057 Å, c = 10.773 Å
α = 90.00°, β = 95.25°, γ = 90.00°
Space group P2_1/c (No. 14)
Unique sites:
Mg (0.161, 0.205, 0.142) x4
Mn (0.174, 0.047, 0.387) x4
Mn (0.379, 0.081, 0.882) x4
O (0.116, 0.520, 0.716) x4
O (0.231, 0.092, 0.566) x4
O (0.367, 0.623, 0.448) x4
O (0.399, 0.223, 0.321) x4

Output
**ρ**: 4.1 Mg/m³

***

two) The following is a PBE with a Hubbard U calculation of MgMn2O4 after structural relaxation, from Alexandria.

a = 6.020 Å, b = 6.030 Å, c = 8.609 Å
α = 90.00°, β = 90.00°, γ = 90.00°
Space group Imma (No. 74)
Unique sites:
Mg (0.000, 0.000, 0.000) x4
Mn (0.000, 0.250, 0.388) x4
Mn (0.250, 0.250, 0.750) x4
O (0.000, 0.031, 0.753) x8
O (0.230, 0.250, 0.975) x8

Output
**DOS(E_F)**: 0.036 states/eV/atom
**ρ**: 4.2 Mg/m³

***

three) The following is a PBE with a Hubbard U calculation of MgMn2O4 after structural relaxation, from Alexandria.

a = 5.816 Å, b = 6.077 Å, c = 6.105 Å
α = 118.46°, β = 117.78°, γ = 91.07°
Space group P-1 (No. 2)
Unique sites:
Mg (0.000, 0.000, 0.000) x1
Mg (0.000, 0.500, 0.500) x1
Mn (0.000, 0.000, 0.500) x1
Mn (0.500, 0.000, 0.000) x1
Mn (0.500, 0.000, 0.500) x1
Mn (0.500, 0.500, 0.000) x1
O (0.231, 0.192, 0.931) x2
O (0.240, 0.218, 0.489) x2
O (0.244, 0.787, 0.502) x2
O (0.247, 0.757, 0.966) x2

Output
**DOS(E_F)**: 0.076 states/eV/atom
**ρ**: 4.1 Mg/m³

***

Result of the stability comparison: two) is the most stable of them.